Record 1
Here is a relaxed BTe2N crystal from Alexandria via LeMat-Bulk. Energies are from GGA-PBE.

Computed properties:
* density: 5.21 g/cm³
* uncorrected formation energy: 6.39 eV/f.u.
* total moment: 0.0 Bohr magnetons per cell
* calculated total energy: -0.2737 Ry/atom
* polymorph energy (0 for the lowest one): 456.4 meV/atom

a b c (Å): 3.8554 3.8554 20.8166
angles (deg): 90.00 90.00 120.00
With the nearest neighbours (Å) after each atom.
Atoms (fractional coordinates):
1 B 0.0000 0.0000 0.0000  2 Te 2.05
2 B 0.3333 0.6667 0.6667  2 Te 2.05
3 B 0.6667 0.3333 0.3333  2 Te 2.05
4 Te 0.0000 0.0000 0.0987  1 B 2.05
5 Te 0.0000 0.0000 0.9013  1 B 2.05
6 Te 0.3333 0.6667 0.5680  1 B 2.05
7 Te 0.3333 0.6667 0.7653  1 B 2.05
8 Te 0.6667 0.3333 0.2347  1 B 2.05
9 Te 0.6667 0.3333 0.4320  1 B 2.05
10 N 0.0000 0.0000 0.5000  6 Te 2.64
11 N 0.3333 0.6667 0.1667  6 Te 2.64
12 N 0.6667 0.3333 0.8333  6 Te 2.64



Record 2
Here is a relaxed MnZnH3 crystal from Alexandria via LeMat-Bulk. Energies are from GGA-PBE.

Computed properties:
* density: 5.57 g/cm³
* total moment: 4.1 Bohr magnetons per cell
* calculated total energy: -0.2954 Ry/atom
* polymorph energy (0 for the lowest one): 0.0 meV/atom

a b c (Å): 4.6703 4.6703 5.0362
angles (deg): 120.64 120.64 54.92
With the nearest neighbours (Å) after each atom.
Atoms (fractional coordinates):
1 Mn 0.1740 0.1740 0.0471  6 H 1.68-1.74
2 Mn 0.8260 0.8260 0.9529  6 H 1.68-1.74
3 Zn 0.4088 0.4088 0.6907  7 H 2.16-2.32
4 Zn 0.5912 0.5912 0.3093  7 H 2.16-2.32
5 H 0.0759 0.6210 0.2572  2 Mn 1.68-1.74
6 H 0.0774 0.0774 0.2634  2 Mn 1.68-1.74
7 H 0.3790 0.9241 0.7428  2 Mn 1.68-1.74
8 H 0.6210 0.0759 0.2572  2 Mn 1.68-1.74
9 H 0.9226 0.9226 0.7366  2 Mn 1.68-1.74
10 H 0.9241 0.3790 0.7428  2 Mn 1.68-1.74



Record 3
Here is a relaxed Zr5Cu crystal from Alexandria via LeMat-Bulk. Energies are from GGA-PBE.

Computed properties:
* density: 6.71 g/cm³
* total moment: 0.0 Bohr magnetons per cell
* calculated total energy: -0.5686 Ry/atom
* polymorph energy (0 for the lowest one): 79.2 meV/atom
* calculated formation energy: 0.069 eV per atom

a b c (Å): 5.0781 3.1561 16.0371
angles (deg): 90.00 90.00 90.00
With the nearest neighbours (Å) after each atom.
Atoms (fractional coordinates):
1 Zr 0.0000 0.0000 0.0000  2 Cu 2.89, 6 Zr 3.02-3.16
2 Zr 0.0000 0.0000 0.3121  2 Cu 3.03, 8 Zr 3.09-3.24
3 Zr 0.0000 0.5000 0.5000  2 Cu 2.89, 6 Zr 3.02-3.16
4 Zr 0.0000 0.5000 0.8121  2 Cu 3.03, 8 Zr 3.09-3.24
5 Zr 0.5000 0.0000 0.1862  8 Zr 2.99-3.24, 4 Cu 3.04
6 Zr 0.5000 0.0000 0.5276  10 Zr 2.99-3.16, 2 Cu 3.22
7 Zr 0.5000 0.0000 0.8608  12 Zr 3.09-3.38
8 Zr 0.5000 0.5000 0.0276  10 Zr 2.99-3.16, 2 Cu 3.22
9 Zr 0.5000 0.5000 0.3608  12 Zr 3.09-3.38
10 Zr 0.5000 0.5000 0.6862  8 Zr 2.99-3.24, 4 Cu 3.04
11 Cu 0.0000 0.0000 0.6512  10 Zr 2.89-3.22, 2 Cu 3.16
12 Cu 0.0000 0.5000 0.1512  10 Zr 2.89-3.22, 2 Cu 3.16